Entry 1:
Material: CaAcN4
Method: DFT, PBE
State: relaxed Values from VASP.

- uncorrected formation energy (eV per formula unit) = -3.435
- size of the total moment (Bohr magnetons per cell) = 0.00
- ρ (g cm⁻³) = 6.058

```
&SYSTEM
  ibrav = 0, nat = 6, ntyp = 3
/
ATOMIC_SPECIES
Ca 40.08 Ca.upf
Ac 227.00 Ac.upf
N 14.01 N.upf
CELL_PARAMETERS angstrom
3.659 0.000 1.058
1.776 3.701 0.715
0.083 0.077 6.568
ATOMIC_POSITIONS crystal
Ca 0.500 0.500 0.500
Ac 0.000 0.000 0.000
N 0.804 0.604 0.787
N 0.304 0.080 0.313
N 0.196 0.396 0.213
N 0.696 0.920 0.687
```

Entry 2:
Material: CaAcN2
Method: DFT, PBE
State: relaxed Values from VASP.

- uncorrected formation energy (eV per formula unit) = -2.832
- E above lowest polymorph (meV/atom) = 0.0
- size of the total moment (Bohr magnetons per cell) = 1.02
- ρ (g cm⁻³) = 6.632

```
&SYSTEM
  ibrav = 0, nat = 4, ntyp = 3
/
ATOMIC_SPECIES
Ac 227.00 Ac.upf
Ca 40.08 Ca.upf
N 14.01 N.upf
CELL_PARAMETERS angstrom
3.782 0.000 0.000
1.891 3.275 0.000
1.891 1.092 5.965
ATOMIC_POSITIONS crystal
Ac 0.000 0.000 0.000
Ca 0.500 0.500 0.500
N 0.251 0.251 0.248
N 0.749 0.749 0.752
```